Material: BaPb3
Method: DFT, GGA-PBE
State: optimized geometry

Cell: 5.964 5.964 5.967 Å, 71.90 71.90 46.27°
Fractional coordinates of all 4 atoms:
Pb 0.760 0.760 0.682
Pb 0.500 0.500 0.500
Ba 0.000 0.000 0.000
Pb 0.240 0.240 0.318

## Properties
Crystal system: monoclinic
Energy of formation from the pure elements, eV per formula unit: -1.28
Space group: C2/m (12)

***

Material: Ba3Pb
Method: DFT, GGA-PBE
State: optimized geometry

Cell: 4.539 4.539 12.645 Å, 90.00 90.00 120.00°
Fractional coordinates of all 4 atoms:
Pb 0.667 0.333 0.750
Ba 0.000 0.000 0.944
Ba 0.000 0.000 0.556
Ba 0.667 0.333 0.250

## Properties
Crystal system: hexagonal
Energy of formation from the pure elements, eV per formula unit: -0.56
Space group: P-6m2 (187)

***

Material: BaPb
Method: DFT, GGA-PBE
State: optimized geometry

Cell: 10.513 10.513 10.513 Å, 90.00 90.00 90.00°
Fractional coordinates of all 16 atoms:
Ba 0.796 0.204 0.796
Pb 0.608 0.608 0.392
Pb 0.892 0.892 0.892
Ba 0.204 0.204 0.204
Pb 0.108 0.108 0.892
Pb 0.392 0.392 0.392
Pb 0.608 0.392 0.608
Ba 0.296 0.296 0.704
Ba 0.204 0.796 0.796
Ba 0.704 0.296 0.296
Ba 0.704 0.704 0.704
Pb 0.892 0.108 0.108
Pb 0.108 0.892 0.108
Ba 0.296 0.704 0.296
Pb 0.392 0.608 0.608
Ba 0.796 0.796 0.204

## Properties
Crystal system: cubic
Energy of formation from the pure elements, eV per formula unit: -0.04
Space group: I-43m (217)

***

Material: BaPb
Method: DFT, GGA-PBE
State: optimized geometry

Cell: 13.157 13.157 4.251 Å, 90.00 90.00 90.00°
Fractional coordinates of all 16 atoms:
Ba 0.339 0.131 0.500
Pb 0.652 0.432 0.000
Pb 0.068 0.152 0.500
Ba 0.839 0.631 0.000
Ba 0.661 0.869 0.500
Ba 0.369 0.839 0.000
Ba 0.161 0.369 0.000
Pb 0.432 0.348 0.000
Pb 0.568 0.652 0.000
Pb 0.932 0.848 0.500
Ba 0.869 0.339 0.500
Ba 0.631 0.161 0.000
Ba 0.131 0.661 0.500
Pb 0.152 0.932 0.500
Pb 0.848 0.068 0.500
Pb 0.348 0.568 0.000

## Properties
Crystal system: tetragonal
Energy of formation from the pure elements, eV per formula unit: -0.32
Space group: I4/m (87)

***

Material: BaPb
Method: DFT, GGA-PBE
State: optimized geometry

Cell: 6.512 7.394 7.394 Å, 115.50 90.00 90.00°
Fractional coordinates of all 8 atoms:
Ba 0.750 0.108 0.892
Pb 0.750 0.585 0.821
Pb 0.250 0.821 0.585
Ba 0.250 0.892 0.108
Pb 0.750 0.179 0.415
Pb 0.250 0.415 0.179
Ba 0.750 0.653 0.347
Ba 0.250 0.347 0.653

## Properties
Crystal system: orthorhombic
Energy of formation from the pure elements, eV per formula unit: -1.00
Space group: Cmcm (63)

***

Material: BaPb2
Method: DFT, GGA-PBE
State: optimized geometry

Cell: 6.931 6.931 6.931 Å, 145.05 144.51 50.67°
Fractional coordinates of all 3 atoms:
Pb 0.305 0.305 0.000
Pb 0.695 0.695 0.000
Ba 0.000 0.000 0.000

## Properties
Crystal system: orthorhombic
Energy of formation from the pure elements, eV per formula unit: -1.03
Space group: Immm (71)

***

Material: BaPb3
Method: DFT, GGA-PBE
State: optimized geometry

Cell: 10.936 10.936 10.936 Å, 20.87 20.87 20.87°
Fractional coordinates of all 4 atoms:
Pb 0.757 0.757 0.757
Pb 0.500 0.500 0.500
Ba 0.000 0.000 0.000
Pb 0.243 0.243 0.243

## Properties
Crystal system: trigonal
Energy of formation from the pure elements, eV per formula unit: -0.19
Space group: R-3m (166)

***

Material: Ba5Pb
Method: DFT, GGA-PBE
State: optimized geometry

Cell: 7.961 7.961 10.508 Å, 68.40 68.40 33.02°
Fractional coordinates of all 6 atoms:
Pb 0.694 0.694 0.111
Ba 0.695 0.695 0.611
Ba 0.035 0.035 0.387
Ba 0.063 0.063 0.982
Ba 0.354 0.354 0.835
Ba 0.326 0.326 0.240

## Properties
Crystal system: monoclinic
Energy of formation from the pure elements, eV per formula unit: -1.14
Space group: Cm (8)

***

Material: Ba3Pb
Method: DFT, GGA-PBE
State: optimized geometry

Cell: 4.246 5.087 8.888 Å, 90.00 90.00 90.00°
Fractional coordinates of all 4 atoms:
Ba 0.500 0.500 0.202
Pb 0.000 0.000 0.000
Ba 0.500 0.500 0.798
Ba 0.000 0.000 0.500

## Properties
Crystal system: orthorhombic
Energy of formation from the pure elements, eV per formula unit: -0.99
Space group: Pmmm (47)

***

Material: BaPb2
Method: DFT, GGA-PBE
State: optimized geometry

Cell: 6.768 6.768 6.768 Å, 60.00 60.00 60.00°
Fractional coordinates of all 6 atoms:
Ba 0.125 0.125 0.625
Pb 0.000 0.500 0.000
Pb 0.500 0.000 0.000
Pb 0.500 0.500 0.000
Pb 0.500 0.500 0.500
Ba 0.875 0.875 0.375

## Properties
Crystal system: cubic
Energy of formation from the pure elements, eV per formula unit: -1.28
Space group: Fd-3m (227)

***

Material: BaPb
Method: DFT, GGA-PBE
State: optimized geometry

Cell: 10.527 8.809 6.802 Å, 90.00 90.00 90.00°
Fractional coordinates of all 16 atoms:
Pb 0.000 0.500 0.000
Ba 0.188 0.164 0.750
Ba 0.312 0.336 0.250
Pb 0.500 0.670 0.250
Pb 0.500 0.000 0.000
Ba 0.312 0.664 0.750
Pb 0.500 0.330 0.750
Pb 0.000 0.500 0.500
Pb 0.000 0.830 0.750
Pb 0.000 0.170 0.250
Pb 0.500 0.000 0.500
Ba 0.812 0.836 0.250
Ba 0.688 0.336 0.250
Ba 0.688 0.664 0.750
Ba 0.188 0.836 0.250
Ba 0.812 0.164 0.750

## Properties
Crystal system: orthorhombic
Energy of formation from the pure elements, eV per formula unit: -1.02
Space group: Cmcm (63)

***

Material: BaPb2
Method: DFT, GGA-PBE
State: optimized geometry

Cell: 7.924 7.924 7.268 Å, 54.41 54.41 39.37°
Fractional coordinates of all 6 atoms:
Pb 0.701 0.701 0.081
Pb 0.087 0.087 0.384
Ba 0.385 0.385 0.710
Pb 0.302 0.302 0.338
Ba 0.004 0.004 0.012
Pb 0.688 0.688 0.642

## Properties
Crystal system: monoclinic
Energy of formation from the pure elements, eV per formula unit: -1.29
Space group: C2/m (12)

***

Material: Ba5Pb2
Method: DFT, GGA-PBE
State: optimized geometry

Cell: 7.898 9.361 10.710 Å, 115.91 111.64 90.00°
Fractional coordinates of all 14 atoms:
Pb 0.375 0.644 0.749
Ba 0.422 0.071 0.844
Ba 0.982 0.732 0.465
Ba 0.482 0.732 0.465
Ba 0.078 0.227 0.156
Ba 0.018 0.268 0.535
Pb 0.875 0.106 0.749
Ba 0.518 0.268 0.535
Pb 0.625 0.356 0.251
Ba 0.922 0.773 0.844
Ba 0.578 0.929 0.156
Ba 0.750 0.500 0.000
Ba 0.250 0.500 0.000
Pb 0.125 0.894 0.251

## Properties
Crystal system: orthorhombic
Energy of formation from the pure elements, eV per formula unit: -2.72
Space group: Ibam (72)

***

Material: BaPb3
Method: DFT, GGA-PBE
State: optimized geometry

Cell: 3.868 3.868 11.110 Å, 90.00 90.00 120.00°
Fractional coordinates of all 4 atoms:
Ba 0.000 0.000 0.000
Pb 0.667 0.333 0.735
Pb 0.000 0.000 0.500
Pb 0.667 0.333 0.265

## Properties
Crystal system: hexagonal
Energy of formation from the pure elements, eV per formula unit: -0.16
Space group: P-6m2 (187)

***

Material: BaPb
Method: DFT, GGA-PBE
State: optimized geometry

Cell: 9.966 9.966 9.966 Å, 90.00 90.00 90.00°
Fractional coordinates of all 12 atoms:
Ba 0.000 0.500 0.250
Ba 0.750 0.000 0.500
Pb 0.500 0.000 0.750
Pb 0.250 0.500 0.000
Pb 0.500 0.000 0.250
Ba 0.500 0.750 0.000
Pb 0.750 0.500 0.000
Ba 0.500 0.250 0.000
Ba 0.250 0.000 0.500
Pb 0.000 0.750 0.500
Pb 0.000 0.250 0.500
Ba 0.000 0.500 0.750

## Properties
Crystal system: cubic
Energy of formation from the pure elements, eV per formula unit: 0.55
Space group: Pm-3n (223)

***

Material: Ba3Pb
Method: DFT, GGA-PBE
State: optimized geometry

Cell: 6.379 6.379 6.379 Å, 60.00 60.00 60.00°
Fractional coordinates of all 4 atoms:
Pb 0.750 0.750 0.750
Ba 0.250 0.250 0.250
Ba 0.500 0.500 0.500
Ba 0.000 0.000 0.000

## Properties
Crystal system: cubic
Energy of formation from the pure elements, eV per formula unit: -0.71
Space group: Fm-3m (225)

***

Material: Ba5Pb
Method: DFT, GGA-PBE
State: optimized geometry

Cell: 9.753 9.753 5.977 Å, 90.00 90.00 146.77°
Fractional coordinates of all 6 atoms:
Pb 0.500 0.500 0.000
Ba 0.339 0.661 0.500
Ba 0.857 0.143 0.000
Ba 0.000 0.000 0.500
Ba 0.143 0.857 0.000
Ba 0.661 0.339 0.500

## Properties
Crystal system: orthorhombic
Energy of formation from the pure elements, eV per formula unit: -0.94
Space group: Cmmm (65)

***

Material: BaPb
Method: DFT, GGA-PBE
State: optimized geometry

Cell: 5.678 5.678 18.107 Å, 90.00 90.00 120.00°
Fractional coordinates of all 12 atoms:
Ba 0.000 0.000 0.105
Ba 0.000 0.000 0.895
Ba 0.667 0.333 0.772
Pb 0.000 0.000 0.672
Pb 0.333 0.667 0.006
Pb 0.000 0.000 0.328
Pb 0.667 0.333 0.994
Ba 0.667 0.333 0.562
Ba 0.333 0.667 0.438
Ba 0.333 0.667 0.228
Pb 0.333 0.667 0.661
Pb 0.667 0.333 0.339

## Properties
Crystal system: trigonal
Energy of formation from the pure elements, eV per formula unit: -0.71
Space group: R-3m (166)

***

Material: BaPb
Method: DFT, GGA-PBE
State: optimized geometry

Cell: 6.295 6.295 9.743 Å, 90.00 90.00 120.00°
Fractional coordinates of all 8 atoms:
Pb 0.333 0.667 0.098
Ba 0.000 0.000 0.750
Pb 0.667 0.333 0.902
Pb 0.667 0.333 0.598
Ba 0.667 0.333 0.250
Ba 0.000 0.000 0.250
Ba 0.333 0.667 0.750
Pb 0.333 0.667 0.402

## Properties
Crystal system: hexagonal
Energy of formation from the pure elements, eV per formula unit: -0.50
Space group: P6_3/mmc (194)

***

Material: Ba3Pb
Method: DFT, GGA-PBE
State: optimized geometry

Cell: 8.040 8.040 8.040 Å, 146.99 133.84 57.91°
Fractional coordinates of all 4 atoms:
Ba 0.055 0.055 0.000
Pb 0.250 0.750 0.500
Ba 0.750 0.250 0.500
Ba 0.445 0.445 0.000

## Properties
Crystal system: orthorhombic
Energy of formation from the pure elements, eV per formula unit: -1.12
Space group: Immm (71)